KPrCuI5, optimized geometry, DFT GGA-PBE; M_tot = 0.007 μB/f.u.; density = 4080 kg/m3; formation energy (no corrections) = -1085 meV/atom
1.0
5.0463 -6.7105 0.0000
5.0463 6.7105 0.0000
-4.6595 0.0000 10.5533
K Pr Cu I
2 2 2 10
Direct
0.1329 0.8671 0.7500
0.8671 0.1329 0.2500
0.5000 0.5000 0.0000
0.5000 0.5000 0.5000
0.1899 0.8101 0.2500
0.8101 0.1899 0.7500
0.1053 0.2578 0.9345
0.1687 0.5761 0.3664
0.2578 0.1053 0.4345
0.4029 0.5971 0.7500
0.4239 0.8313 0.1336
0.5761 0.1687 0.8664
0.5971 0.4029 0.2500
0.7422 0.8947 0.5655
0.8313 0.4239 0.6336
0.8947 0.7422 0.0655